No. 1
DFT (PBE-GGA) results for an optimized crystal structure of CdGePd.

## Properties
- energy of formation from the pure elements (eV per atom) = -0.170
- VASP energy (eV/atom) = -3.7450
- DOS(E_F) (states/eV/cell) = 2.41

Cell lengths 4.4184, 4.4184, 4.4184 Å; angles 60.00, 60.00, 60.00 degrees
Positions (direct):
Cd1 0.0000 0.0000 0.0000
Ge1 0.5000 0.5000 0.5000
Pd1 0.7500 0.7500 0.7500

=====

No. 2
DFT (PBE-GGA) results for an optimized crystal structure of Ag2RuAu.

## Properties
- energy of formation from the pure elements (eV per atom) = 0.308
- VASP energy (eV/atom) = -4.2557
- DOS(E_F) (states/eV/cell) = 2.06
- energy above the lowest structure with this stoichiometry (eV/f.u.) = 0.044

Cell lengths 2.8179, 2.8179, 8.5285 Å; angles 90.00, 90.00, 90.00 degrees
Positions (direct):
Ag1 0.0000 0.0000 0.0000
Ag2 0.5000 0.5000 0.2563
Ru1 0.5000 0.5000 0.7560
Au1 0.0000 0.0000 0.5156

=====

No. 3
DFT (PBE-GGA) results for an optimized crystal structure of NaAs2IrBr.

## Properties
- VASP energy (eV/atom) = -2.6856
- DOS(E_F) (states/eV/cell) = 6.69
- energy above the lowest structure with this stoichiometry (eV/f.u.) = 7.939
- formation energy from raw total energies (meV/atom) = 1545

Cell lengths 4.9649, 4.9649, 4.9125 Å; angles 90.00, 90.00, 90.00 degrees
Positions (direct):
Na1 0.0000 0.0000 0.0000
As1 0.0000 0.5000 0.0000
As2 0.5000 0.0000 0.0000
Ir1 0.5000 0.5000 0.5000
Br1 0.0000 0.0000 0.5000